# Gd3Tl5O12

Gd3Tl5O12 after structural relaxation (PBE-GGA, Alexandria via LeMat-Bulk).

```
Gd3Tl5O12
1.0
11.7294 0.0000 0.0000
-3.9098 11.0585 0.0000
-3.9098 -5.5293 9.5770
O Gd Tl
48 12 20
Direct
0.5874 0.9499 0.6711
0.0836 0.9126 0.3625
0.4126 0.0501 0.3289
0.2211 0.5501 0.6375
0.3289 0.5501 0.4126
0.7789 0.3289 0.9164
0.7211 0.1375 0.0501
0.4499 0.6711 0.0874
0.6375 0.5874 0.9164
0.6711 0.2211 0.5836
0.4499 0.7789 0.8625
0.2211 0.6711 0.0836
0.2789 0.4164 0.8289
0.6711 0.4499 0.5874
0.8289 0.9164 0.2789
0.0874 0.9164 0.1375
0.1375 0.4164 0.0874
0.1375 0.7211 0.5501
0.9499 0.3625 0.2789
0.5874 0.6375 0.4164
0.5501 0.2211 0.1375
0.1711 0.0836 0.7211
0.5836 0.8625 0.4126
0.3625 0.9499 0.7789
0.9126 0.0836 0.8625
0.9164 0.0874 0.6375
0.4164 0.2789 0.3289
0.7789 0.4499 0.3625
0.1711 0.0874 0.9499
0.7211 0.5836 0.1711
0.0836 0.1711 0.2211
0.9499 0.5874 0.1711
0.0501 0.6375 0.7211
0.4164 0.1375 0.5874
0.2789 0.8625 0.9499
0.0874 0.1711 0.4499
0.0501 0.4126 0.8289
0.5836 0.7211 0.6711
0.9164 0.8289 0.7789
0.3625 0.4126 0.0836
0.9126 0.8289 0.5501
0.4126 0.3625 0.5836
0.8625 0.5836 0.9126
0.8625 0.2789 0.4499
0.6375 0.0501 0.2211
0.8289 0.9126 0.0501
0.3289 0.7789 0.4164
0.5501 0.3289 0.9126
0.8750 0.7500 0.1250
0.7500 0.3750 0.1250
0.3750 0.7500 0.6250
0.2500 0.1250 0.3750
0.6250 0.3750 0.7500
0.1250 0.2500 0.8750
0.7500 0.8750 0.6250
0.8750 0.1250 0.2500
0.3750 0.6250 0.2500
0.2500 0.6250 0.8750
0.1250 0.8750 0.7500
0.6250 0.2500 0.3750
0.5000 0.0000 0.5000
0.2500 0.8750 0.1250
0.3750 0.2500 0.1250
0.0000 0.5000 0.0000
0.7500 0.6250 0.3750
0.6250 0.7500 0.8750
0.8750 0.2500 0.6250
0.6250 0.8750 0.2500
0.5000 0.0000 0.0000
0.2500 0.3750 0.6250
0.5000 0.5000 0.5000
0.0000 0.0000 0.5000
0.5000 0.5000 0.0000
0.7500 0.1250 0.8750
0.0000 0.5000 0.5000
0.1250 0.7500 0.3750
0.3750 0.1250 0.7500
0.0000 0.0000 0.0000
0.1250 0.3750 0.2500
0.8750 0.6250 0.7500
```

ΔE_f (raw): -32.710 eV/f.u.
Space-group type: Ia-3d, No. 230
Crystal system: cubic
Final energy: -7.314 eV/atom

=====

# ScAl

ScAl after structural relaxation (PBE-GGA, Alexandria via LeMat-Bulk).

```
ScAl
1.0
9.9420 0.0053 0.0031
9.4525 3.0812 0.0031
9.4525 1.5043 2.6890
Sc Al
2 2
Direct
0.4971 0.4971 0.4971
0.2529 0.2529 0.2529
0.0038 0.0038 0.0038
0.7462 0.7462 0.7462
```

Space-group type: R-3m, No. 166
Crystal system: trigonal
Energy of formation: -0.06 eV/atom
Final energy: -5.096 eV/atom

=====

# Fe2CoHgB

Fe2CoHgB after structural relaxation (PBE-GGA, Alexandria via LeMat-Bulk).

```
Fe2CoHgB
1.0
4.8925 0.0000 0.0000
0.0000 3.9808 0.0000
0.0000 0.0000 4.8925
Fe Hg Co B
2 1 1 1
Direct
0.0000 0.0000 0.5000
0.5000 0.0000 0.0000
0.0000 0.0000 0.0000
0.5000 0.5000 0.5000
0.0000 0.5000 0.0000
```

Space-group type: P4/mmm, No. 123
Crystal system: tetragonal
Energy of formation: 1.94 eV/atom
Final energy: -4.258 eV/atom

=====

> Look up the final energy of the first one.

-7.314 eV/atom